(1)
A relaxed HfIn2Pt crystal. Source: Alexandria via LeMat-Bulk, functional GGA-PBE.

Cell and atoms, written as POSCAR:
```
HfIn2Pt
1.0
7.841 0.000 0.000
0.000 7.841 0.000
3.921 3.921 2.864
Hf In Pt
2 4 2
Cartesian
3.921 7.841 1.432
3.921 3.921 0.000
5.881 5.624 2.148
6.138 1.960 0.716
1.703 5.881 0.716
9.802 10.059 2.148
7.841 3.921 1.432
0.000 0.000 0.000
```

The calculation puts the total energy at -5.51 eV per atom. The density of states at the Fermi level is 0.472 states/eV per atom. The calculation puts the formation enthalpy at 0 K at -3.2 kcal/mol of atoms. Its space-group type is I-42d.

***

(2)
A relaxed Ba2NaUSe4 crystal. Source: Alexandria via LeMat-Bulk, functional GGA-PBE.

Cell and atoms, written as POSCAR:
```
Ba2NaUSe4
1.0
4.462 0.000 0.000
0.000 7.716 -0.171
0.000 2.686 7.245
Na Se Ba U
1 4 2 1
Cartesian
2.231 3.858 -0.086
2.231 6.259 1.836
0.000 7.563 5.261
2.231 4.143 5.237
4.462 2.839 1.813
0.000 2.686 7.245
2.231 1.343 3.622
0.000 5.201 3.537
```

The calculation puts the total energy at -5.33 eV per atom. As for the energy relative to the elements, uncorrected: -1182 kJ/mol of formula units. The density of states at the Fermi level is 0.751 states/eV per atom. Its space-group type is P2/m.